Record 1
# Zr3Nb5Co12

A relaxed structure of Zr3Nb5Co12 (PBE, Alexandria via LeMat-Bulk).

The structure in POSCAR format:
```
Zr3Nb5Co12
1.0
-7.031 7.031 7.031
7.031 -7.031 7.031
7.031 7.031 -7.031
Zr Nb Co
12 20 48
Cartesian
3.515 1.758 0.000 Zr
7.031 3.515 -1.758 Zr
1.758 0.000 3.515 Zr
8.788 0.000 3.515 Zr
0.000 3.515 1.758 Zr
3.515 -1.758 7.031 Zr
3.515 8.788 0.000 Zr
7.031 3.515 5.273 Zr
-1.758 7.031 3.515 Zr
5.273 7.031 3.515 Zr
0.000 3.515 8.788 Zr
3.515 5.273 7.031 Zr
0.000 0.000 0.000 Nb
3.515 3.515 -3.515 Nb
3.515 -3.515 3.515 Nb
7.031 0.000 0.000 Nb
10.546 1.758 0.000 Nb
7.031 -3.515 5.273 Nb
5.273 7.031 -3.515 Nb
5.273 0.000 3.515 Nb
3.515 5.273 0.000 Nb
7.031 3.515 1.758 Nb
-3.515 3.515 3.515 Nb
0.000 7.031 0.000 Nb
0.000 0.000 7.031 Nb
3.515 3.515 3.515 Nb
0.000 3.515 5.273 Nb
3.515 1.758 7.031 Nb
1.758 7.031 3.515 Nb
1.758 0.000 10.546 Nb
0.000 10.546 1.758 Nb
-3.515 5.273 7.031 Nb
2.132 -0.168 1.120 Co
8.414 4.635 -3.683 Co
6.863 -1.120 2.132 Co
10.713 -1.384 2.395 Co
9.162 0.168 1.120 Co
8.414 -2.395 3.683 Co
1.120 2.132 -0.168 Co
9.426 3.348 -1.384 Co
4.635 3.683 -1.384 Co
5.911 2.132 0.168 Co
-0.168 1.120 2.132 Co
3.683 -1.384 4.635 Co
6.863 5.911 -2.132 Co
3.683 1.384 2.395 Co
5.911 -2.132 6.863 Co
4.635 -3.683 8.414 Co
2.395 3.683 1.384 Co
8.151 4.899 0.168 Co
2.132 6.863 -1.120 Co
8.414 2.395 3.348 Co
3.683 8.414 -2.395 Co
6.863 1.120 4.899 Co
1.384 2.395 3.683 Co
2.132 0.168 5.911 Co
4.899 6.863 1.120 Co
5.647 4.635 3.348 Co
0.168 5.911 2.132 Co
3.348 -1.384 9.426 Co
-1.384 4.635 3.683 Co
4.899 0.168 8.151 Co
-1.120 2.132 6.863 Co
4.635 3.348 5.647 Co
2.395 10.713 -1.384 Co
1.120 9.162 0.168 Co
3.348 5.647 4.635 Co
0.168 1.120 9.162 Co
3.348 8.414 2.395 Co
7.198 5.911 4.899 Co
1.120 4.899 6.863 Co
2.395 3.348 8.414 Co
-2.395 3.683 8.414 Co
5.911 4.899 7.198 Co
-1.384 9.426 3.348 Co
-2.132 6.863 5.911 Co
-3.683 8.414 4.635 Co
0.168 8.151 4.899 Co
-1.384 2.395 10.713 Co
4.899 7.198 5.911 Co
```

Output
* ΔE_f: 0.72 eV per atom
* total DFT energy (no corrections): -587.50 eV/cell

---

Record 2
# Ba4SbW

A relaxed structure of Ba4SbW (PBE, Alexandria via LeMat-Bulk).

The structure in POSCAR format:
```
Ba4SbW
1.0
0.000 4.981 4.981
4.981 0.000 4.981
4.981 4.981 0.000
Ba Sb W
4 1 1
Cartesian
1.241 1.241 1.241 Ba
3.741 3.741 1.241 Ba
3.741 1.241 3.741 Ba
1.241 3.741 3.741 Ba
7.472 7.472 7.472 Sb
4.981 4.981 4.981 W
```

Output
* total DFT energy (no corrections): -18.58 eV/cell
* E_form (uncorrected): 1.0307 eV/atom

---

Record 3
# TlCd2I2

A relaxed structure of TlCd2I2 (PBE, Alexandria via LeMat-Bulk).

The structure in POSCAR format:
```
TlCd2I2
1.0
-2.112 2.112 9.939
2.112 -2.112 9.939
2.112 2.112 -9.939
Tl Cd I
1 2 2
Cartesian
0.000 0.000 0.000 Tl
2.112 0.000 4.969 Cd
0.000 2.112 4.969 Cd
0.000 0.000 7.861 I
0.000 0.000 12.017 I
```

Output
* total DFT energy (no corrections): -8.56 eV/cell
* relative energy among the computed polymorphs: 0.0 meV/atom
* E_form (uncorrected): -0.2522 eV/atom